DFT (GGA-PBE) results for CdSeO3 after structural relaxation.

Properties
Electronic total energy, eV/atom: -4.279
Formation energy from raw total energies, eV/atom: -0.42
Total magnetization, μB/f.u.: 0.00
Space group: Pm-3m

a = 3.927 Å, b = 3.927 Å, c = 3.927 Å
α = 90.00°, β = 90.00°, γ = 90.00°
Element x y z (fractional)
Cd1 0.000 0.000 0.000
Se1 0.500 0.500 0.500
O1 0.000 0.500 0.500
O2 0.500 0.000 0.500
O3 0.500 0.500 0.000



DFT (GGA-PBE) results for Cd2SeO5 after structural relaxation.

Properties
Electronic total energy, eV/atom: -4.492
Formation energy from raw total energies, eV/atom: -0.73
Total magnetization, μB/f.u.: 0.00
Space group: Cmcm

a = 5.942 Å, b = 5.942 Å, c = 10.131 Å
α = 90.00°, β = 90.00°, γ = 140.67°
Element x y z (fractional)
Cd1 0.143 0.857 0.580
Cd2 0.143 0.857 0.920
Cd3 0.857 0.143 0.080
Cd4 0.857 0.143 0.420
Se1 0.163 0.837 0.250
Se2 0.837 0.163 0.750
O1 0.055 0.945 0.124
O2 0.055 0.945 0.376
O3 0.280 0.720 0.119
O4 0.280 0.720 0.381
O5 0.301 0.699 0.750
O6 0.699 0.301 0.250
O7 0.720 0.280 0.619
O8 0.720 0.280 0.881
O9 0.945 0.055 0.624
O10 0.945 0.055 0.876



DFT (GGA-PBE) results for Cd3Se2O after structural relaxation.

Properties
Electronic total energy, eV/atom: -3.018
Formation energy from raw total energies, eV/atom: -0.57
Total magnetization, μB/f.u.: 0.00
Space group: C2/c

a = 6.813 Å, b = 6.813 Å, c = 6.581 Å
α = 99.17°, β = 99.17°, γ = 120.73°
Element x y z (fractional)
Cd1 0.000 0.500 0.500
Cd2 0.130 0.276 0.011
Cd3 0.276 0.130 0.511
Cd4 0.500 0.000 0.000
Cd5 0.724 0.870 0.489
Cd6 0.870 0.724 0.989
Se1 0.261 0.739 0.250
Se2 0.410 0.590 0.750
Se3 0.590 0.410 0.250
Se4 0.739 0.261 0.750
O1 0.050 0.950 0.750
O2 0.950 0.050 0.250



DFT (GGA-PBE) results for Cd2Se2O7 after structural relaxation.

Properties
Electronic total energy, eV/atom: -4.744
Formation energy from raw total energies, eV/atom: -0.79
Total magnetization, μB/f.u.: 0.00
Space group: C2/m
Distance to the lowest polymorph of the same formula, eV/atom: 0.0099

a = 5.997 Å, b = 5.997 Å, c = 5.014 Å
α = 102.67°, β = 102.67°, γ = 98.49°
Element x y z (fractional)
Cd1 0.198 0.802 0.000
Cd2 0.802 0.198 0.000
Se1 0.283 0.283 0.610
Se2 0.717 0.717 0.390
O1 0.099 0.099 0.300
O2 0.099 0.407 0.793
O3 0.407 0.099 0.793
O4 0.500 0.500 0.500
O5 0.593 0.901 0.207
O6 0.901 0.593 0.207
O7 0.901 0.901 0.700



DFT (GGA-PBE) results for CdSeO3 after structural relaxation.

Properties
Electronic total energy, eV/atom: -4.814
Formation energy from raw total energies, eV/atom: -0.96
Total magnetization, μB/f.u.: 0.00
Space group: P2_1/c

a = 6.568 Å, b = 6.702 Å, c = 8.282 Å
α = 90.00°, β = 126.71°, γ = 90.00°
Element x y z (fractional)
Cd1 0.152 0.117 0.385
Cd2 0.152 0.383 0.885
Cd3 0.848 0.617 0.115
Cd4 0.848 0.883 0.615
Se1 0.348 0.651 0.592
Se2 0.348 0.849 0.092
Se3 0.652 0.151 0.908
Se4 0.652 0.349 0.408
O1 0.086 0.691 0.989
O2 0.086 0.809 0.489
O3 0.197 0.038 0.912
O4 0.197 0.462 0.412
O5 0.404 0.559 0.810
O6 0.404 0.941 0.310
O7 0.596 0.059 0.690
O8 0.596 0.441 0.190
O9 0.803 0.538 0.588
O10 0.803 0.962 0.088
O11 0.914 0.191 0.511
O12 0.914 0.309 0.011



DFT (GGA-PBE) results for CdSeO3 after structural relaxation.

Properties
Electronic total energy, eV/atom: -4.811
Formation energy from raw total energies, eV/atom: -0.96
Total magnetization, μB/f.u.: 0.00
Space group: C2/c

a = 7.026 Å, b = 7.026 Å, c = 7.063 Å
α = 105.96°, β = 105.96°, γ = 97.77°
Element x y z (fractional)
Cd1 0.069 0.931 0.750
Cd2 0.273 0.727 0.250
Cd3 0.727 0.273 0.750
Cd4 0.931 0.069 0.250
Se1 0.175 0.449 0.735
Se2 0.449 0.175 0.235
Se3 0.551 0.825 0.765
Se4 0.825 0.551 0.265
O1 0.000 0.206 0.630
O2 0.000 0.794 0.370
O3 0.004 0.405 0.269
O4 0.206 0.000 0.130
O5 0.265 0.464 0.990
O6 0.405 0.004 0.769
O7 0.464 0.265 0.490
O8 0.536 0.735 0.510
O9 0.595 0.996 0.231
O10 0.735 0.536 0.010
O11 0.794 0.000 0.870
O12 0.996 0.595 0.731



Number 2 is which compound?
Cd2SeO5



What is the electronic total energy in the first record?
-4.279 eV/atom



Number 6 is which compound?
CdSeO3